# 1
# ZnCr2 | Alexandria | PBE | relaxed
data_ZnCr2
_cell_length_a 9.943
_cell_length_b 2.426
_cell_length_c 6.375
_cell_angle_alpha 90.00
_cell_angle_beta 103.94
_cell_angle_gamma 90.00
_symmetry_space_group_name_H-M 'C 1 m 1'
_symmetry_Int_Tables_number 8
loop_
_symmetry_equiv_pos_as_xyz
'x,y,z'
'x,-y,z'
'x+1/2,y+1/2,z'
'x+1/2,-y+1/2,z'
loop_
_atom_site_label
_atom_site_type_symbol
_atom_site_fract_x
_atom_site_fract_y
_atom_site_fract_z
Zn1 Zn 0.000 0.000 0.000
Zn2 Zn 0.162 0.500 0.332
Cr1 Cr 0.093 0.500 0.697
Cr2 Cr 0.269 0.000 0.024
Cr3 Cr 0.327 0.000 0.676
Cr4 Cr 0.426 0.500 0.376
# Crystal system ... monoclinic
# E_form ... 0.966 eV/f.u.

# 2
# K3Ac3ScS8 | Alexandria | PBE | relaxed
data_K3Ac3ScS8
_cell_length_a 14.930
_cell_length_b 8.611
_cell_length_c 8.964
_cell_angle_alpha 90.00
_cell_angle_beta 123.75
_cell_angle_gamma 90.00
_symmetry_space_group_name_H-M 'C 1 2/m 1'
_symmetry_Int_Tables_number 12
loop_
_symmetry_equiv_pos_as_xyz
'x,y,z'
'-x,-y,-z'
'-x,y,-z'
'x,-y,z'
'x+1/2,y+1/2,z'
'-x+1/2,-y+1/2,-z'
'-x+1/2,y+1/2,-z'
'x+1/2,-y+1/2,z'
loop_
_atom_site_label
_atom_site_type_symbol
_atom_site_fract_x
_atom_site_fract_y
_atom_site_fract_z
K1 K 0.000 0.000 0.000
K2 K 0.250 0.250 0.000
Ac1 Ac 0.000 0.500 0.500
Ac2 Ac 0.250 0.250 0.500
Sc1 Sc 0.000 0.000 0.500
S1 S 0.010 0.224 0.306
S2 S 0.214 0.000 0.694
S3 S 0.239 0.500 0.718
# E_form (uncorrected) ... -1.732 eV/atom
# Crystal system ... monoclinic

# 3
# Sc3Te2H | Alexandria | PBE | relaxed
data_Sc3Te2H
_cell_length_a 17.438
_cell_length_b 5.525
_cell_length_c 5.502
_cell_angle_alpha 90.00
_cell_angle_beta 90.00
_cell_angle_gamma 90.00
_symmetry_space_group_name_H-M 'C m c 21'
_symmetry_Int_Tables_number 36
loop_
_symmetry_equiv_pos_as_xyz
'x,y,z'
'-x,-y,z+1/2'
'-x,y,z'
'x,-y,z+1/2'
'x+1/2,y+1/2,z'
'-x+1/2,-y+1/2,z+1/2'
'-x+1/2,y+1/2,z'
'x+1/2,-y+1/2,z+1/2'
loop_
_atom_site_label
_atom_site_type_symbol
_atom_site_fract_x
_atom_site_fract_y
_atom_site_fract_z
Sc1 Sc 0.000 0.222 0.000
Sc2 Sc 0.104 0.263 0.495
Te1 Te 0.167 0.242 0.995
H1 H 0.000 0.131 0.374
# Crystal system ... orthorhombic
# VASP energy ... -5.6351 eV per atom

# 4
# Co6IrRh2 | Alexandria | PBE | relaxed
data_Co6IrRh2
_cell_length_a 4.7560
_cell_length_b 4.7560
_cell_length_c 5.9382
_cell_angle_alpha 90.00
_cell_angle_beta 90.00
_cell_angle_gamma 120.00
_symmetry_space_group_name_H-M 'P -3 m 1'
_symmetry_Int_Tables_number 164
_symmetry_space_group_name_Hall '-P 3 2"'
loop_
_atom_site_label
_atom_site_type_symbol
_atom_site_fract_x
_atom_site_fract_y
_atom_site_fract_z
Co1 Co 0.1731 0.3462 0.1609
Ir1 Ir 0.0000 0.0000 0.5000
Rh1 Rh 0.3333 0.6667 0.5804
# Crystal system ... trigonal
# E_form ... 2.352 eV/f.u.

# 5
# BaLiRe2 | Alexandria | PBE | relaxed
data_BaLiRe2
_cell_length_a 8.151
_cell_length_b 3.257
_cell_length_c 6.990
_cell_angle_alpha 90.00
_cell_angle_beta 98.32
_cell_angle_gamma 90.00
_symmetry_space_group_name_H-M 'C 1 m 1'
_symmetry_Int_Tables_number 8
loop_
_symmetry_equiv_pos_as_xyz
'x,y,z'
'x,-y,z'
'x+1/2,y+1/2,z'
'x+1/2,-y+1/2,z'
loop_
_atom_site_label
_atom_site_type_symbol
_atom_site_fract_x
_atom_site_fract_y
_atom_site_fract_z
Ba1 Ba 0.000 0.000 0.000
Li1 Li 0.238 0.000 0.646
Re1 Re 0.000 0.500 0.459
Re2 Re 0.279 0.500 0.343
# Excess energy over the best structure of this formula in the dataset ... 119.6 meV per atom
# Crystal system ... monoclinic
# E_form ... 2.521 eV/f.u.

# 6
# Al2MoRu | Alexandria | PBE | relaxed
data_Al2MoRu
_cell_length_a 2.845
_cell_length_b 4.320
_cell_length_c 4.995
_cell_angle_alpha 90.00
_cell_angle_beta 103.24
_cell_angle_gamma 90.00
_symmetry_space_group_name_H-M 'P 1 m 1'
_symmetry_Int_Tables_number 6
loop_
_symmetry_equiv_pos_as_xyz
'x,y,z'
'x,-y,z'
loop_
_atom_site_label
_atom_site_type_symbol
_atom_site_fract_x
_atom_site_fract_y
_atom_site_fract_z
Al1 Al 0.000 0.000 0.000
Al2 Al 0.349 0.500 0.783
Mo1 Mo 0.702 0.500 0.302
Ru1 Ru 0.333 0.000 0.525
# Excess energy over the best structure of this formula in the dataset ... 184.3 meV per atom
# Crystal system ... monoclinic
# E_form ... -0.790 eV/f.u.

# 7
# Be2ReBr | Alexandria | PBE | relaxed
data_Be2ReBr
_cell_length_a 3.005
_cell_length_b 3.076
_cell_length_c 7.442
_cell_angle_alpha 90.00
_cell_angle_beta 90.00
_cell_angle_gamma 90.00
_symmetry_space_group_name_H-M 'P m m 2'
_symmetry_Int_Tables_number 25
loop_
_symmetry_equiv_pos_as_xyz
'x,y,z'
'-x,-y,z'
'-x,y,z'
'x,-y,z'
loop_
_atom_site_label
_atom_site_type_symbol
_atom_site_fract_x
_atom_site_fract_y
_atom_site_fract_z
Be1 Be 0.000 0.000 0.000
Be2 Be 0.500 0.500 0.170
Re1 Re 0.000 0.000 0.298
Br1 Br 0.500 0.500 0.826
# Excess energy over the best structure of this formula in the dataset ... 219.1 meV per atom
# E_form (uncorrected) ... 0.601 eV/atom
# Crystal system ... orthorhombic

# 8
# Pm5InRu | Alexandria | PBE | relaxed
data_Pm5InRu
_cell_length_a 9.573
_cell_length_b 7.675
_cell_length_c 11.978
_cell_angle_alpha 90.00
_cell_angle_beta 107.14
_cell_angle_gamma 90.00
_symmetry_space_group_name_H-M 'C 1 2/c 1'
_symmetry_Int_Tables_number 15
loop_
_symmetry_equiv_pos_as_xyz
'x,y,z'
'-x,-y,-z'
'-x,y,-z+1/2'
'x,-y,z+1/2'
'x+1/2,y+1/2,z'
'-x+1/2,-y+1/2,-z'
'-x+1/2,y+1/2,-z+1/2'
'x+1/2,-y+1/2,z+1/2'
loop_
_atom_site_label
_atom_site_type_symbol
_atom_site_fract_x
_atom_site_fract_y
_atom_site_fract_z
Pm1 Pm 0.000 0.004 0.250
Pm2 Pm 0.124 0.330 0.060
Pm3 Pm 0.246 0.169 0.625
In1 In 0.000 0.406 0.750
Ru1 Ru 0.000 0.000 0.000
# Crystal system ... monoclinic
# E_form ... -0.991 eV/f.u.

# 9
# PaCdTc2 | Alexandria | PBE | relaxed
data_PaCdTc2
_cell_length_a 6.654
_cell_length_b 6.654
_cell_length_c 6.654
_cell_angle_alpha 90.00
_cell_angle_beta 90.00
_cell_angle_gamma 90.00
_symmetry_space_group_name_H-M 'F m -3 m'
_symmetry_Int_Tables_number 225
_symmetry_space_group_name_Hall '-F 4 2 3'
loop_
_atom_site_label
_atom_site_type_symbol
_atom_site_fract_x
_atom_site_fract_y
_atom_site_fract_z
Pa1 Pa 0.000 0.000 0.000
Cd1 Cd 0.000 0.000 0.500
Tc1 Tc 0.250 0.250 0.250
# Excess energy over the best structure of this formula in the dataset ... 106.1 meV per atom
# Crystal system ... cubic
# E_form ... 0.422 eV/f.u.

# 10
# Nd3Dy2N4 | Alexandria | PBE | relaxed
data_Nd3Dy2N4
_cell_length_a 6.176
_cell_length_b 3.566
_cell_length_c 14.982
_cell_angle_alpha 90.00
_cell_angle_beta 90.07
_cell_angle_gamma 90.00
_symmetry_space_group_name_H-M 'C 1 2/m 1'
_symmetry_Int_Tables_number 12
loop_
_symmetry_equiv_pos_as_xyz
'x,y,z'
'-x,-y,-z'
'-x,y,-z'
'x,-y,z'
'x+1/2,y+1/2,z'
'-x+1/2,-y+1/2,-z'
'-x+1/2,y+1/2,-z'
'x+1/2,-y+1/2,z'
loop_
_atom_site_label
_atom_site_type_symbol
_atom_site_fract_x
_atom_site_fract_y
_atom_site_fract_z
Nd1 Nd 0.000 0.000 0.000
Nd2 Nd 0.166 0.500 0.620
Dy1 Dy 0.167 0.500 0.190
N1 N 0.001 0.000 0.293
N2 N 0.166 0.500 0.895
# E_form (uncorrected) ... -1.327 eV/atom
# Crystal system ... monoclinic

# 11
# ErScGa2Ni5 | Alexandria | PBE | relaxed
data_ErScGa2Ni5
_cell_length_a 3.878
_cell_length_b 3.878
_cell_length_c 8.865
_cell_angle_alpha 90.00
_cell_angle_beta 90.00
_cell_angle_gamma 90.00
_symmetry_space_group_name_H-M 'P 4/m m m'
_symmetry_Int_Tables_number 123
_symmetry_space_group_name_Hall '-P 4 2'
loop_
_atom_site_label
_atom_site_type_symbol
_atom_site_fract_x
_atom_site_fract_y
_atom_site_fract_z
Er1 Er 0.000 0.000 0.000
Sc1 Sc 0.000 0.000 0.500
Ga1 Ga 0.500 0.500 0.362
Ni1 Ni 0.000 0.500 0.215
Ni2 Ni 0.500 0.500 0.000
# Crystal system ... tetragonal
# E_form ... -3.440 eV/f.u.

# 12
# ZrPt | Alexandria | PBE | relaxed
data_ZrPt
_cell_length_a 9.674
_cell_length_b 3.294
_cell_length_c 4.882
_cell_angle_alpha 90.00
_cell_angle_beta 100.84
_cell_angle_gamma 90.00
_symmetry_space_group_name_H-M 'C 1 2/m 1'
_symmetry_Int_Tables_number 12
loop_
_symmetry_equiv_pos_as_xyz
'x,y,z'
'-x,-y,-z'
'-x,y,-z'
'x,-y,z'
'x+1/2,y+1/2,z'
'-x+1/2,-y+1/2,-z'
'-x+1/2,y+1/2,-z'
'x+1/2,-y+1/2,z'
loop_
_atom_site_label
_atom_site_type_symbol
_atom_site_fract_x
_atom_site_fract_y
_atom_site_fract_z
Zr1 Zr 0.114 0.000 0.322
Pt1 Pt 0.126 0.500 0.843
# Crystal system ... monoclinic
# E_form ... -1.741 eV/f.u.